Record 1
NpBN | Alexandria via LeMat-Bulk | PBE | optimized geometry; volume = 48.53 Å³/cell; formation energy without anion corrections = -335 meV per atom; E = -9.6500 eV per atom; magnetic moment = 1.038 μB per formula unit; offset from the most stable computed form = 0.604 eV/atom
1.0
2.5561 0.0000 0.0000
-1.2780 2.2136 0.0000
0.0000 0.0000 8.5765
Np B N
1 1 1
Cartesian
0.0000 0.0000 0.0000 Np
1.2780 0.7379 4.2883 B
0.0000 1.4758 4.2883 N

Record 2
Sr2Bi3 | Alexandria via LeMat-Bulk | PBE | optimized geometry; volume = 371.85 Å³/cell; E = -3.6126 eV per atom; magnetic moment = 0.000 μB per formula unit; DFT formation energy = -0.61 eV per atom
1.0
3.7737 -5.5006 0.0000
3.7737 5.5006 0.0000
0.0000 0.0000 8.9569
Sr Bi
4 6
Cartesian
3.7737 3.8503 7.9692 Sr
3.7737 1.6503 3.4907 Sr
3.7737 -1.6503 5.4661 Sr
3.7737 -3.8503 0.9877 Sr
0.0000 0.0000 4.4784 Bi
1.8869 1.2732 6.7177 Bi
1.8869 -1.2732 2.2392 Bi
3.7737 0.0000 0.0000 Bi
5.6606 1.2732 6.7177 Bi
5.6606 -1.2732 2.2392 Bi

Record 3
Pu2Ni4Ge3Rh | Alexandria via LeMat-Bulk | PBE | optimized geometry; volume = 161.10 Å³/cell; E = -7.7345 eV per atom; magnetic moment = 10.161 μB per formula unit; DFT formation energy = -0.44 eV per atom
1.0
3.8560 0.0000 0.0000
0.0000 3.8560 0.0000
0.0000 0.0000 10.8352
Pu Ni Ge Rh
2 4 3 1
Cartesian
0.0000 1.9280 2.6040 Pu
1.9280 0.0000 8.2312 Pu
0.0000 0.0000 5.4176 Ni
0.0000 1.9280 9.1587 Ni
1.9280 0.0000 1.6766 Ni
1.9280 1.9280 5.4176 Ni
0.0000 0.0000 0.0000 Ge
0.0000 1.9280 6.8024 Ge
1.9280 0.0000 4.0329 Ge
1.9280 1.9280 0.0000 Rh

Record 4
TaTeAs | Alexandria via LeMat-Bulk | PBE | optimized geometry; volume = 275.60 Å³/cell; formation energy without anion corrections = 651 meV per atom; E = -5.8965 eV per atom; magnetic moment = 0.000 μB per formula unit
1.0
6.5076 0.0000 0.0000
0.0000 6.5076 0.0000
0.0000 0.0000 6.5076
Ta Te As
4 4 4
Cartesian
0.0000 0.0000 0.0000 Ta
0.0000 3.2538 3.2538 Ta
3.2538 0.0000 3.2538 Ta
3.2538 3.2538 0.0000 Ta
0.0000 0.0000 3.2538 Te
0.0000 3.2538 0.0000 Te
3.2538 0.0000 0.0000 Te
3.2538 3.2538 3.2538 Te
1.6269 1.6269 1.6269 As
1.6269 4.8807 4.8807 As
4.8807 1.6269 4.8807 As
4.8807 4.8807 1.6269 As

Record 5
Y3Cu | Alexandria via LeMat-Bulk | PBE | optimized geometry; volume = 212.12 Å³/cell; E = -5.7038 eV per atom; magnetic moment = 0.000 μB per formula unit; DFT formation energy = 0.17 eV per atom
1.0
4.5278 0.0000 0.0000
0.0000 4.5278 0.0000
0.0000 0.0000 10.3470
Y Cu
6 2
Cartesian
0.0000 0.0000 0.0000 Y
0.0000 2.2639 2.5867 Y
0.0000 2.2639 7.7602 Y
2.2639 0.0000 2.5867 Y
2.2639 0.0000 7.7602 Y
2.2639 2.2639 5.1735 Y
0.0000 0.0000 5.1735 Cu
2.2639 2.2639 0.0000 Cu

Record 6
TbEr2O | Alexandria via LeMat-Bulk | PBE | optimized geometry; volume = 86.83 Å³/cell; formation energy without anion corrections = -817 meV per atom; E = -5.4955 eV per atom; magnetic moment = 0.000 μB per formula unit; offset from the most stable computed form = 0.542 eV/atom
1.0
3.1741 0.0000 0.0000
0.0000 3.1741 0.0000
0.0000 0.0000 8.6191
Tb Er O
1 2 1
Cartesian
0.0000 0.0000 0.0000 Tb
1.5870 1.5870 2.7773 Er
1.5870 1.5870 5.8418 Er
0.0000 0.0000 4.3095 O

Record 7
URh6 | Alexandria via LeMat-Bulk | PBE | optimized geometry; volume = 305.83 Å³/cell; E = -7.1628 eV per atom; magnetic moment = 2.631 μB per formula unit; DFT formation energy = 0.75 eV per atom
1.0
6.7374 0.0000 0.0000
0.0000 6.7374 0.0000
0.0000 0.0000 6.7374
U Rh
2 12
Cartesian
0.0000 0.0000 0.0000 U
3.3687 3.3687 3.3687 U
0.0000 1.6844 3.3687 Rh
0.0000 3.3687 1.6844 Rh
0.0000 3.3687 5.0531 Rh
0.0000 5.0531 3.3687 Rh
1.6844 0.0000 3.3687 Rh
1.6844 3.3687 0.0000 Rh
3.3687 0.0000 1.6844 Rh
3.3687 0.0000 5.0531 Rh
3.3687 1.6844 0.0000 Rh
3.3687 5.0531 0.0000 Rh
5.0531 0.0000 3.3687 Rh
5.0531 3.3687 0.0000 Rh

Record 8
NdUS4 | Alexandria via LeMat-Bulk | PBE | optimized geometry; volume = 337.61 Å³/cell; formation energy without anion corrections = -1484 meV per atom; E = -6.9120 eV per atom; magnetic moment = 1.000 μB per formula unit; offset from the most stable computed form = 0.046 eV/atom
1.0
8.9199 0.0000 0.0000
0.0000 9.0801 0.0000
0.0000 0.0000 4.1683
Nd U S
2 2 8
Cartesian
0.0000 0.0000 0.0000 Nd
4.4599 4.5400 0.0000 Nd
0.0000 4.5400 2.0842 U
4.4599 0.0000 2.0842 U
0.0000 2.8884 0.0000 S
0.0000 6.1917 0.0000 S
1.8719 0.0000 2.0842 S
2.5881 4.5400 2.0842 S
4.4599 1.6517 0.0000 S
4.4599 7.4284 0.0000 S
6.3318 4.5400 2.0842 S
7.0480 0.0000 2.0842 S

Record 9
SmMg2TcN4 | Alexandria via LeMat-Bulk | PBE | optimized geometry; volume = 208.45 Å³/cell; formation energy without anion corrections = -575 meV per atom; E = -7.0219 eV per atom; magnetic moment = 0.000 μB per formula unit
1.0
1.6478 -5.7761 0.0000
1.6478 5.7761 0.0000
0.0000 0.0000 10.9502
Sm Mg Tc N
2 4 2 8
Cartesian
1.6478 4.9311 8.2127 Sm
1.6478 -4.9311 2.7376 Sm
1.6478 1.3063 5.8337 Mg
1.6478 1.3063 10.5917 Mg
1.6478 -1.3063 0.3585 Mg
1.6478 -1.3063 5.1166 Mg
1.6478 3.6275 2.7376 Tc
1.6478 -3.6275 8.2127 Tc
0.0000 0.0000 0.0000 N
0.0000 0.0000 5.4751 N
1.6478 2.5727 1.2884 N
1.6478 2.5727 4.1867 N
1.6478 0.9556 8.2127 N
1.6478 -0.9556 2.7376 N
1.6478 -2.5727 6.7636 N
1.6478 -2.5727 9.6618 N

Record 10
LiGdRuRh | Alexandria via LeMat-Bulk | PBE | optimized geometry; volume = 271.38 Å³/cell; E = -8.2203 eV per atom; magnetic moment = 5.800 μB per formula unit; DFT formation energy = -0.06 eV per atom
1.0
6.4743 0.0000 0.0000
0.0000 6.4743 0.0000
0.0000 0.0000 6.4743
Li Gd Ru Rh
4 4 4 4
Cartesian
0.0000 0.0000 0.0000 Li
0.0000 3.2372 3.2372 Li
3.2372 0.0000 3.2372 Li
3.2372 3.2372 0.0000 Li
1.6186 1.6186 4.8557 Gd
1.6186 4.8557 1.6186 Gd
4.8557 1.6186 1.6186 Gd
4.8557 4.8557 4.8557 Gd
0.0000 0.0000 3.2372 Ru
0.0000 3.2372 0.0000 Ru
3.2372 0.0000 0.0000 Ru
3.2372 3.2372 3.2372 Ru
1.6186 1.6186 1.6186 Rh
1.6186 4.8557 4.8557 Rh
4.8557 1.6186 4.8557 Rh
4.8557 4.8557 1.6186 Rh

Record 11
Ba2TiI | Alexandria via LeMat-Bulk | PBE | optimized geometry; volume = 657.04 Å³/cell; formation energy without anion corrections = 96 meV per atom; E = -3.2267 eV per atom; magnetic moment = 4.854 μB per formula unit; offset from the most stable computed form = 0.000 eV/atom
1.0
8.6936 0.0000 0.0000
0.0000 8.6936 0.0000
0.0000 0.0000 8.6936
Ba Ti I
8 4 4
Cartesian
2.1734 2.1734 2.1734 Ba
2.1734 2.1734 6.5202 Ba
2.1734 6.5202 2.1734 Ba
2.1734 6.5202 6.5202 Ba
6.5202 2.1734 2.1734 Ba
6.5202 2.1734 6.5202 Ba
6.5202 6.5202 2.1734 Ba
6.5202 6.5202 6.5202 Ba
0.0000 0.0000 0.0000 Ti
0.0000 4.3468 4.3468 Ti
4.3468 0.0000 4.3468 Ti
4.3468 4.3468 0.0000 Ti
0.0000 0.0000 4.3468 I
0.0000 4.3468 0.0000 I
4.3468 0.0000 0.0000 I
4.3468 4.3468 4.3468 I

Record 12
ZnCdGaHg | Alexandria via LeMat-Bulk | PBE | optimized geometry; volume = 335.14 Å³/cell; E = -1.2717 eV per atom; magnetic moment = 0.000 μB per formula unit; DFT formation energy = 0.11 eV per atom
1.0
6.9461 0.0000 0.0000
0.0000 6.9461 0.0000
0.0000 0.0000 6.9461
Zn Cd Ga Hg
4 4 4 4
Cartesian
0.0000 0.0000 0.0000 Zn
0.0000 3.4731 3.4731 Zn
3.4731 0.0000 3.4731 Zn
3.4731 3.4731 0.0000 Zn
0.0000 0.0000 3.4731 Cd
0.0000 3.4731 0.0000 Cd
3.4731 0.0000 0.0000 Cd
3.4731 3.4731 3.4731 Cd
1.7365 1.7365 1.7365 Ga
1.7365 5.2096 5.2096 Ga
5.2096 1.7365 5.2096 Ga
5.2096 5.2096 1.7365 Ga
1.7365 1.7365 5.2096 Hg
1.7365 5.2096 1.7365 Hg
5.2096 1.7365 1.7365 Hg
5.2096 5.2096 5.2096 Hg

Record 13
SmDyErSc | Alexandria via LeMat-Bulk | PBE | optimized geometry; volume = 482.35 Å³/cell; E = -4.9406 eV per atom; magnetic moment = 0.000 μB per formula unit; DFT formation energy = 0.11 eV per atom; offset from the most stable computed form = 0.016 eV/atom
1.0
7.8425 0.0000 0.0000
0.0000 7.8425 0.0000
0.0000 0.0000 7.8425
Sm Dy Er Sc
4 4 4 4
Cartesian
0.0000 0.0000 0.0000 Sm
0.0000 3.9212 3.9212 Sm
3.9212 0.0000 3.9212 Sm
3.9212 3.9212 0.0000 Sm
0.0000 0.0000 3.9212 Dy
0.0000 3.9212 0.0000 Dy
3.9212 0.0000 0.0000 Dy
3.9212 3.9212 3.9212 Dy
1.9606 1.9606 5.8819 Er
1.9606 5.8819 1.9606 Er
5.8819 1.9606 1.9606 Er
5.8819 5.8819 5.8819 Er
1.9606 1.9606 1.9606 Sc
1.9606 5.8819 5.8819 Sc
5.8819 1.9606 5.8819 Sc
5.8819 5.8819 1.9606 Sc

Record 14
K3Dy2MgTe6 | Alexandria via LeMat-Bulk | PBE | optimized geometry; volume = 422.79 Å³/cell; formation energy without anion corrections = -1162 meV per atom; E = -3.9074 eV per atom; magnetic moment = 0.000 μB per formula unit
1.0
3.8186 -6.6174 0.0000
3.8186 6.6174 0.0000
-2.5508 0.0000 8.3656
K Dy Mg Te
3 2 1 6
Cartesian
0.0000 0.0000 0.0000 K
3.8186 2.2327 0.0000 K
3.8186 -2.2327 0.0000 K
2.5432 4.4158 4.1828 Dy
2.5432 -4.4158 4.1828 Dy
2.5432 0.0000 4.1828 Mg
1.2934 2.1693 2.4628 Te
0.0377 0.0000 5.9114 Te
1.2934 -2.1693 2.4628 Te
3.7930 2.1693 5.9028 Te
5.0487 0.0000 2.4542 Te
3.7930 -2.1693 5.9028 Te

Record 15
AcCdPt3 | Alexandria via LeMat-Bulk | PBE | optimized geometry; volume = 225.74 Å³/cell; E = -5.2562 eV per atom; magnetic moment = 0.000 μB per formula unit; DFT formation energy = -0.63 eV per atom
1.0
4.2751 0.0000 0.0000
0.0000 4.2751 0.0000
0.0000 0.0000 12.3515
Ac Cd Pt
2 2 6
Cartesian
0.0000 0.0000 0.0000 Ac
2.1375 2.1375 6.1758 Ac
0.0000 0.0000 8.1609 Cd
2.1375 2.1375 1.9851 Cd
0.0000 0.0000 5.5004 Pt
0.0000 2.1375 3.7308 Pt
0.0000 2.1375 9.9066 Pt
2.1375 0.0000 3.7308 Pt
2.1375 0.0000 9.9066 Pt
2.1375 2.1375 11.6762 Pt

Record 16
Ti2Mo6W3 | Alexandria via LeMat-Bulk | PBE | optimized geometry; volume = 179.09 Å³/cell; E = -10.5771 eV per atom; magnetic moment = 0.000 μB per formula unit; DFT formation energy = 0.30 eV per atom
1.0
-1.2960 2.3465 14.7234
1.2960 -2.3465 14.7234
1.2960 2.3465 -14.7234
Ti Mo W
2 6 3
Cartesian
0.0000 0.0000 1.3035 Ti
0.0000 0.0000 28.1432 Ti
1.2960 0.0000 3.9523 Mo
0.0000 0.0000 6.5873 Mo
1.2960 0.0000 12.0002 Mo
0.0000 2.3465 2.7232 Mo
0.0000 0.0000 22.8594 Mo
0.0000 2.3465 10.7711 Mo
0.0000 0.0000 9.2968 W
0.0000 0.0000 14.7234 W
0.0000 0.0000 20.1500 W

Record 17
VBiAsPd2 | Alexandria via LeMat-Bulk | PBE | optimized geometry; volume = 113.43 Å³/cell; E = -4.8274 eV per atom; magnetic moment = 0.000 μB per formula unit; DFT formation energy = 0.78 eV per atom
1.0
4.6686 0.0000 0.0000
0.0000 4.6686 0.0000
0.0000 0.0000 5.2042
V Bi As Pd
1 1 1 2
Cartesian
0.0000 0.0000 0.0000 V
0.0000 0.0000 2.6021 Bi
2.3343 2.3343 2.6021 As
0.0000 2.3343 0.0000 Pd
2.3343 0.0000 0.0000 Pd

Record 18
Ca3PuTe4 | Alexandria via LeMat-Bulk | PBE | optimized geometry; volume = 518.99 Å³/cell; formation energy without anion corrections = -1470 meV per atom; E = -5.5830 eV per atom; magnetic moment = 5.965 μB per formula unit; offset from the most stable computed form = 0.015 eV/atom
1.0
9.0169 0.0000 0.0000
0.0000 12.7840 0.0000
0.0000 0.0000 4.5023
Ca Pu Te
6 2 8
Cartesian
0.0000 0.0000 0.0000 Ca
2.2542 3.1960 2.2511 Ca
2.2542 9.5880 2.2511 Ca
4.5085 6.3920 0.0000 Ca
6.7627 3.1960 2.2511 Ca
6.7627 9.5880 2.2511 Ca
0.0000 6.3920 0.0000 Pu
4.5085 0.0000 0.0000 Pu
0.0000 3.1893 0.0000 Te
0.0000 9.5947 0.0000 Te
2.2563 0.0000 2.2511 Te
2.2521 6.3920 2.2511 Te
4.5085 3.2027 0.0000 Te
4.5085 9.5814 0.0000 Te
6.7606 0.0000 2.2511 Te
6.7648 6.3920 2.2511 Te

Record 19
LiSiTc3 | Alexandria via LeMat-Bulk | PBE | optimized geometry; volume = 68.69 Å³/cell; formation energy without anion corrections = 1136 meV per atom; E = -6.5511 eV per atom; magnetic moment = 0.000 μB per formula unit; offset from the most stable computed form = 0.171 eV/atom
1.0
4.0953 0.0000 0.0000
0.0000 4.0953 0.0000
0.0000 0.0000 4.0953
Li Si Tc
1 1 3
Cartesian
0.0000 0.0000 0.0000 Li
2.0477 2.0477 2.0477 Si
0.0000 0.0000 2.0477 Tc
0.0000 2.0477 0.0000 Tc
2.0477 0.0000 0.0000 Tc

Record 20
GaAg2TeI | Alexandria via LeMat-Bulk | PBE | optimized geometry; volume = 177.73 Å³/cell; formation energy without anion corrections = 56 meV per atom; E = -2.6281 eV per atom; magnetic moment = 0.000 μB per formula unit
1.0
5.2455 0.0000 0.0000
0.0000 5.2455 0.0000
0.0000 0.0000 6.4594
Ga Ag Te I
1 2 1 1
Cartesian
0.0000 0.0000 0.0000 Ga
0.0000 2.6228 3.2297 Ag
2.6228 0.0000 3.2297 Ag
0.0000 0.0000 3.2297 Te
2.6228 2.6228 0.0000 I

Record 21
TaGeTePt | Alexandria via LeMat-Bulk | PBE | optimized geometry; volume = 85.24 Å³/cell; formation energy without anion corrections = -134 meV per atom; E = -6.5475 eV per atom; magnetic moment = 0.000 μB per formula unit; offset from the most stable computed form = 0.100 eV/atom
1.0
2.9651 0.0000 0.0000
0.0000 3.4519 0.0000
-0.1872 0.0000 8.3282
Ta Ge Te Pt
1 1 1 1
Cartesian
0.0000 0.0000 0.0000 Ta
-0.0202 0.0000 3.2252 Ge
1.9816 1.7260 6.2549 Te
1.5260 1.7260 1.6080 Pt

Record 22
MgBe3Pt | Alexandria via LeMat-Bulk | PBE | optimized geometry; volume = 72.54 Å³/cell; E = -2.3057 eV per atom; magnetic moment = 0.000 μB per formula unit; DFT formation energy = 1.46 eV per atom; offset from the most stable computed form = 1.359 eV/atom
1.0
4.1706 0.0000 0.0000
0.0000 4.1706 0.0000
0.0000 0.0000 4.1706
Mg Be Pt
1 3 1
Cartesian
0.0000 0.0000 0.0000 Mg
0.0000 0.0000 2.0853 Be
0.0000 2.0853 0.0000 Be
2.0853 0.0000 0.0000 Be
2.0853 2.0853 2.0853 Pt

Record 23
KNd3Ru | Alexandria via LeMat-Bulk | PBE | optimized geometry; volume = 182.44 Å³/cell; E = -4.8478 eV per atom; magnetic moment = 0.000 μB per formula unit; DFT formation energy = 0.09 eV per atom
1.0
5.6716 0.0000 0.0000
0.0000 5.6716 0.0000
0.0000 0.0000 5.6716
K Nd Ru
1 3 1
Cartesian
0.0000 0.0000 0.0000 K
0.0000 2.8358 2.8358 Nd
2.8358 0.0000 2.8358 Nd
2.8358 2.8358 0.0000 Nd
2.8358 2.8358 2.8358 Ru

Record 24
La8Hg3 | Alexandria via LeMat-Bulk | PBE | optimized geometry; volume = 403.53 Å³/cell; E = -3.7041 eV per atom; magnetic moment = 0.000 μB per formula unit; DFT formation energy = -0.04 eV per atom
1.0
5.0822 2.9342 4.5100
-5.0822 2.9342 4.5100
0.0000 -5.8685 4.5100
La Hg
8 3
Cartesian
0.0000 0.0000 1.7401 La
0.0000 -2.3000 5.3061 La
-1.9919 1.1500 5.3061 La
-1.9919 -1.1500 8.2239 La
1.9919 1.1500 5.3061 La
1.9919 -1.1500 8.2239 La
0.0000 2.3000 8.2239 La
0.0000 0.0000 11.7899 La
-5.0822 0.0000 6.7650 Hg
-2.5411 1.4671 2.2550 Hg
2.5411 1.4671 2.2550 Hg

Record 25
La3RuAu | Alexandria via LeMat-Bulk | PBE | optimized geometry; volume = 291.73 Å³/cell; E = -5.9384 eV per atom; magnetic moment = 0.000 μB per formula unit; DFT formation energy = -0.47 eV per atom; offset from the most stable computed form = 0.016 eV/atom
1.0
8.4626 0.0000 0.0000
0.0000 4.1207 0.0000
-1.6231 0.0000 8.3660
La Ru Au
6 2 2
Cartesian
0.0000 0.0000 0.0000 La
-0.3839 2.0603 3.1121 La
1.3174 0.0000 6.4706 La
2.9534 0.0000 2.0628 La
5.4206 2.0603 0.2623 La
5.2747 0.0000 4.7630 La
2.2732 2.0603 0.2291 Ru
6.3076 0.0000 2.0866 Ru
2.7846 2.0603 4.5705 Au
7.2248 2.0603 6.0865 Au

Record 26
CsScPt2 | Alexandria via LeMat-Bulk | PBE | optimized geometry; volume = 501.18 Å³/cell; E = -5.0030 eV per atom; magnetic moment = 0.000 μB per formula unit; DFT formation energy = -0.19 eV per atom; offset from the most stable computed form = 0.000 eV/atom
1.0
7.8347 0.0000 0.0000
0.0000 7.8347 0.0000
0.0000 0.0000 8.1648
Cs Sc Pt
4 4 8
Cartesian
0.0000 0.0000 0.0000 Cs
0.0000 3.9174 2.0412 Cs
3.9174 0.0000 6.1236 Cs
3.9174 3.9174 4.0824 Cs
0.0000 0.0000 4.0824 Sc
0.0000 3.9174 6.1236 Sc
3.9174 0.0000 2.0412 Sc
3.9174 3.9174 0.0000 Sc
1.2802 5.8760 5.1030 Pt
1.9587 1.2802 3.0618 Pt
1.9587 2.6371 7.1442 Pt
2.6371 5.8760 1.0206 Pt
5.1976 1.9587 1.0206 Pt
5.8760 5.1976 7.1442 Pt
5.8760 6.5545 3.0618 Pt
6.5545 1.9587 5.1030 Pt